## ReMoSCl2 (PBE)

Data for an optimized crystal structure of ReMoSCl2.

```
ReMoSCl2
1.0
-3.6990 2.6158 -2.0755
-2.6101 -0.3331 4.2319
1.8700 3.7967 1.4522
Re Cl Mo S
1 2 1 1
direct
0.0000 0.0000 0.0000
0.0000 0.5000 0.0000
0.5000 0.0000 0.0000
0.5000 0.5000 0.5000
0.0000 0.0000 0.5000
```

Calculated values
The calculated total energy is -0.197 Ha/atom. The total moment comes out at 4.4 μB/f.u. The space group is P4/mmm (123).